# PBE+U CsVF3, relaxed
data_CsVF3
_cell_length_a 7.1400
_cell_length_b 7.1400
_cell_length_c 17.6620
_cell_angle_alpha 90.00
_cell_angle_beta 90.00
_cell_angle_gamma 120.00
_symmetry_space_group_name_H-M 'R -3 c'
_symmetry_Int_Tables_number 167
_symmetry_space_group_name_Hall '-R 3 2"c'
loop_
_atom_site_label
_atom_site_fract_x
_atom_site_fract_y
_atom_site_fract_z
Cs1 0.0000 0.0000 0.0000
V1 0.0000 0.0000 0.2500
F1 0.0000 0.2683 0.2500
# Crystal system ... trigonal
# N(E_F) ... 0.0 states/eV per cell
# Raw total energy ... -156.32 eV per cell
# Size of the total moment ... 0.600 μB/atom